# PBE Pr6NO, relaxed
# DOS(E_F) in states/eV/f.u.: 9.91
# Formation energy from raw total energies in eV/atom: -0.9311
data_Pr6NO
_chemical_formula_sum 'Pr12 N2 O2'
_symmetry_space_group_name_H-M 'P 1'
_symmetry_Int_Tables_number 1
_symmetry_space_group_name_Hall 'P 1'
_cell_length_a 6.505
_cell_length_b 6.505
_cell_length_c 11.872
_cell_angle_alpha 90.00
_cell_angle_beta 90.00
_cell_angle_gamma 120.00
loop_
_atom_site_label
_atom_site_type_symbol
_atom_site_fract_x
_atom_site_fract_y
_atom_site_fract_z
Pr1 Pr 0.310 0.330 0.376
Pr2 Pr 0.690 0.670 0.624
Pr3 Pr 0.020 0.690 0.376
Pr4 Pr 0.310 0.980 0.124
Pr5 Pr 0.980 0.310 0.624
Pr6 Pr 0.690 0.020 0.876
Pr7 Pr 0.670 0.980 0.376
Pr8 Pr 0.020 0.330 0.124
Pr9 Pr 0.330 0.020 0.624
Pr10 Pr 0.980 0.670 0.876
Pr11 Pr 0.670 0.690 0.124
Pr12 Pr 0.330 0.310 0.876
N1 N 0.000 0.000 0.500
N2 N 0.000 0.000 0.000
O1 O 0.333 0.667 0.250
O2 O 0.667 0.333 0.750